[1]
Cd2Pt after structural relaxation, computed with GGA-PBE.

Lattice parameters (Å, degrees): 5.6352 4.5879 8.7571 90.00 90.00 90.00
Closest atoms and distances in Å follow each position.
Positions (direct):
Pt  0.1965  0.2500  0.6421  10 Cd 2.82-3.09
Pt  0.8035  0.7500  0.3579  10 Cd 2.82-3.09
Pt  0.3035  0.7500  0.1421  10 Cd 2.82-3.09
Pt  0.6965  0.2500  0.8579  10 Cd 2.82-3.09
Cd  0.5927  0.2500  0.1901  5 Pt 2.84-2.97, 6 Cd 2.97-3.09
Cd  0.3273  0.7500  0.4636  5 Pt 2.82-3.09, 6 Cd 2.97-3.09
Cd  0.1727  0.2500  0.9636  5 Pt 2.82-3.09, 6 Cd 2.97-3.09
Cd  0.9073  0.7500  0.6901  5 Pt 2.84-2.97, 6 Cd 2.97-3.09
Cd  0.4073  0.7500  0.8099  5 Pt 2.84-2.97, 6 Cd 2.97-3.09
Cd  0.6727  0.2500  0.5364  5 Pt 2.82-3.09, 6 Cd 2.97-3.09
Cd  0.8273  0.7500  0.0364  5 Pt 2.82-3.09, 6 Cd 2.97-3.09
Cd  0.0927  0.2500  0.3099  5 Pt 2.84-2.97, 6 Cd 2.97-3.09

Summary:
Space-group type: Pnma, No. 62
Crystal system: orthorhombic
DFT formation energy: -0.262 eV per atom


[2]
CdPt15 after structural relaxation, computed with GGA-PBE.

Lattice parameters (Å, degrees): 5.5649 3.9346 36.8746 90.00 90.02 90.00
Closest atoms and distances in Å follow each position.
Positions (direct):
Pt  0.6247  0.2500  0.0583  12 Pt 2.78-2.85
Pt  0.1250  0.2500  0.2142  11 Pt 2.78-2.91, 1 Cd 3.03
Pt  0.3740  0.7500  0.2528  9 Pt 2.71-2.90, 2 Cd 2.90
Pt  0.8757  0.7500  0.0966  12 Pt 2.77-2.86
Pt  0.8776  0.7500  0.1742  12 Pt 2.75-2.90
Pt  0.6277  0.2500  0.8258  12 Pt 2.75-2.90
Pt  0.3749  0.7500  0.8648  12 Pt 2.78-2.84
Pt  0.8759  0.7500  0.2528  9 Pt 2.71-2.90, 2 Cd 2.89
Pt  0.3723  0.7500  0.1742  12 Pt 2.75-2.90
Pt  0.8750  0.7500  0.7858  11 Pt 2.78-2.91, 1 Cd 3.03
Pt  0.8747  0.7500  0.9423  12 Pt 2.78-2.86
Pt  0.6249  0.2500  0.2863  5 Pt 2.71-2.77, 2 Cd 2.81
Pt  0.1224  0.2500  0.8258  12 Pt 2.75-2.90
Pt  0.8750  0.7500  0.8648  12 Pt 2.78-2.91
Pt  0.6253  0.2500  0.2112  12 Pt 2.77-2.86
Pt  0.8746  0.7500  0.0193  12 Pt 2.78-2.85
Pt  0.1243  0.2500  0.9034  12 Pt 2.77-2.86
Pt  0.6260  0.2500  0.7472  9 Pt 2.71-2.90, 2 Cd 2.90
Pt  0.1254  0.2500  0.9807  12 Pt 2.78-2.85
Pt  0.1241  0.2500  0.7472  9 Pt 2.71-2.90, 2 Cd 2.89
Pt  0.3742  0.7500  0.0966  12 Pt 2.77-2.86
Pt  0.6258  0.2500  0.9034  12 Pt 2.77-2.86
Pt  0.3747  0.7500  0.7888  12 Pt 2.77-2.86
Pt  0.6251  0.2500  0.1352  12 Pt 2.78-2.84
Pt  0.1253  0.2500  0.0577  12 Pt 2.78-2.86
Pt  0.3751  0.7500  0.7137  5 Pt 2.71-2.77, 2 Cd 2.81
Pt  0.1250  0.2500  0.1352  12 Pt 2.78-2.91
Pt  0.3753  0.7500  0.0191  12 Pt 2.78-2.86
Pt  0.3753  0.7500  0.9417  12 Pt 2.78-2.85
Pt  0.6247  0.2500  0.9809  12 Pt 2.78-2.86
Cd  0.1251  0.2500  0.2965  7 Pt 2.81-3.03
Cd  0.8749  0.7500  0.7035  7 Pt 2.81-3.03

Summary:
Space-group type: P2_1/m, No. 11
Distance to the lowest polymorph of the same formula: 36 meV per atom
Crystal system: monoclinic
DFT formation energy: 0.058 eV per atom


[3]
Cd2Pt after structural relaxation, computed with GGA-PBE.

Lattice parameters (Å, degrees): 8.4043 8.4043 8.4043 60.00 60.00 60.00
Closest atoms and distances in Å follow each position.
Positions (direct):
Cd  0.3750  0.3750  0.3750  2 Pt 2.57
Cd  0.3750  0.8750  0.3750  2 Pt 2.57
Cd  0.8750  0.3750  0.3750  2 Pt 2.57
Cd  0.3750  0.3750  0.8750  2 Pt 2.57
Pt  0.5000  0.5000  0.5000  4 Cd 2.57
Pt  0.2500  0.2500  0.2500  4 Cd 2.57

Summary:
Space-group type: Fd-3m, No. 227
Crystal system: cubic
DFT formation energy: 0.516 eV per atom


[4]
CdPt8 after structural relaxation, computed with GGA-PBE.

Lattice parameters (Å, degrees): 4.7983 4.7983 31.1500 90.56 90.56 47.76
Closest atoms and distances in Å follow each position.
Positions (direct):
Cd  0.0535  0.0535  0.2533  6 Pt 2.82-2.98
Cd  0.9465  0.9465  0.7467  6 Pt 2.82-2.98
Pt  0.7498  0.7498  0.9269  12 Pt 2.77-2.92
Pt  0.3498  0.3498  0.9852  12 Pt 2.77-2.90
Pt  0.1494  0.1494  0.8685  12 Pt 2.77-2.88
Pt  0.4496  0.4496  0.8968  12 Pt 2.77-2.96
Pt  0.1479  0.1479  0.1618  11 Pt 2.76-2.92, 1 Cd 2.98
Pt  0.5504  0.5504  0.1032  12 Pt 2.77-2.96
Pt  0.8521  0.8521  0.8382  11 Pt 2.76-2.92, 1 Cd 2.98
Pt  0.5539  0.5539  0.8067  9 Pt 2.72-2.96, 2 Cd 2.85
Pt  0.2502  0.2502  0.0731  12 Pt 2.77-2.92
Pt  0.7493  0.7493  0.2183  6 Pt 2.72-2.86, 3 Cd 2.82-2.87
Pt  0.0493  0.0493  0.9561  12 Pt 2.77-2.88
Pt  0.6502  0.6502  0.0148  12 Pt 2.77-2.90
Pt  0.8506  0.8506  0.1315  12 Pt 2.77-2.88
Pt  0.4461  0.4461  0.1933  9 Pt 2.72-2.96, 2 Cd 2.85
Pt  0.2507  0.2507  0.7817  6 Pt 2.72-2.86, 3 Cd 2.82-2.87
Pt  0.9507  0.9507  0.0439  12 Pt 2.77-2.88

Summary:
Space-group type: C2/m, No. 12
Crystal system: monoclinic
DFT formation energy: 0.051 eV per atom